[1]
BeP2SCl | Alexandria via LeMat-Bulk | PBE | optimized geometry; DOS(E_F) = 0.74 states/eV per atom; raw formation energy = 3.38 eV per formula unit; magnetic moment = 0.0 μB/f.u.; E = -3.43 eV per atom
1.0
4.4806 0.0000 0.0000
0.0000 4.4806 0.0000
0.0000 0.0000 4.1272
Be P S Cl
1 2 1 1
direct
0.0000 0.0000 0.0000
0.0000 0.5000 0.0000
0.5000 0.0000 0.0000
0.0000 0.0000 0.5000
0.5000 0.5000 0.5000

=====

[2]
BeP2SCl | Alexandria via LeMat-Bulk | PBE | optimized geometry; DOS(E_F) = 0.49 states/eV per atom; raw formation energy = 3.11 eV per formula unit; magnetic moment = 0.0 μB/f.u.; E = -3.48 eV per atom
1.0
4.4772 0.0000 0.0000
0.0000 4.4772 0.0000
0.0000 0.0000 4.0840
Be P S Cl
1 2 1 1
direct
0.0000 0.0000 0.0000
0.0000 0.5000 0.0000
0.5000 0.0000 0.0000
0.5000 0.5000 0.5000
0.0000 0.0000 0.5000

=====

[3]
BeP2SCl | Alexandria via LeMat-Bulk | PBE | optimized geometry; DOS(E_F) = 0.81 states/eV per atom; raw formation energy = 8.30 eV per formula unit; magnetic moment = 0.0 μB/f.u.; E = -2.44 eV per atom
1.0
4.5236 0.0000 0.0000
0.0000 4.5236 0.0000
0.0000 0.0000 4.8069
Be P S Cl
1 2 1 1
direct
0.0000 0.0000 0.0000
0.0000 0.5000 0.5000
0.5000 0.0000 0.5000
0.5000 0.5000 0.0000
0.5000 0.5000 0.5000

=====

[4]
BeSbP2Cl | Alexandria via LeMat-Bulk | PBE | optimized geometry; DOS(E_F) = 1.08 states/eV per atom; raw formation energy = 6.01 eV per formula unit; magnetic moment = 0.1 μB/f.u.; E = -2.90 eV per atom
1.0
5.1053 0.0000 0.0000
0.0000 5.1053 0.0000
0.0000 0.0000 5.0869
Be Sb P Cl
1 1 2 1
direct
0.0000 0.0000 0.0000
0.5000 0.5000 0.5000
0.0000 0.5000 0.5000
0.5000 0.0000 0.5000
0.5000 0.5000 0.0000

=====

[5]
BeSbP2Cl | Alexandria via LeMat-Bulk | PBE | optimized geometry; DOS(E_F) = 0.57 states/eV per atom; raw formation energy = 1.77 eV per formula unit; magnetic moment = 0.0 μB/f.u.; E = -3.75 eV per atom
1.0
4.5607 0.0000 0.0000
0.0000 4.5607 0.0000
0.0000 0.0000 4.2763
Be Sb P Cl
1 1 2 1
direct
0.0000 0.0000 0.0000
0.5000 0.5000 0.5000
0.0000 0.5000 0.0000
0.5000 0.0000 0.0000
0.0000 0.0000 0.5000

=====

[6]
BeSbPCl2 | Alexandria via LeMat-Bulk | PBE | optimized geometry; DOS(E_F) = 0.33 states/eV per atom; raw formation energy = 3.35 eV per formula unit; magnetic moment = 0.0 μB/f.u.; E = -2.72 eV per atom
1.0
5.1390 0.0000 0.0000
0.0000 5.1390 0.0000
0.0000 0.0000 5.3957
Be Sb P Cl
1 1 1 2
direct
0.0000 0.0000 0.0000
0.5000 0.5000 0.5000
0.5000 0.5000 0.0000
0.0000 0.5000 0.5000
0.5000 0.0000 0.5000

=====

[7]
BeSbPCl2 | Alexandria via LeMat-Bulk | PBE | optimized geometry; DOS(E_F) = 0.55 states/eV per atom; raw formation energy = -0.24 eV per formula unit; magnetic moment = 0.0 μB/f.u.; E = -3.44 eV per atom
1.0
4.2997 0.0000 0.0000
0.0000 4.2997 0.0000
0.0000 0.0000 5.0689
Be Sb P Cl
1 1 1 2
direct
0.0000 0.0000 0.0000
0.5000 0.5000 0.5000
0.0000 0.0000 0.5000
0.0000 0.5000 0.0000
0.5000 0.0000 0.0000

=====

[8]
ScBePCl2 | Alexandria via LeMat-Bulk | PBE | optimized geometry; DOS(E_F) = 0.34 states/eV per atom; raw formation energy = -1.21 eV per formula unit; magnetic moment = 0.0 μB/f.u.; E = -4.07 eV per atom
1.0
4.7833 0.0000 0.0000
0.0000 4.7833 0.0000
0.0000 0.0000 5.4264
Sc Be P Cl
1 1 1 2
direct
0.0000 0.0000 0.0000
0.5000 0.5000 0.5000
0.0000 0.0000 0.5000
0.0000 0.5000 0.0000
0.5000 0.0000 0.0000

=====

[9]
ScBePCl2 | Alexandria via LeMat-Bulk | PBE | optimized geometry; DOS(E_F) = 0.05 states/eV per atom; raw formation energy = -2.74 eV per formula unit; magnetic moment = 0.0 μB/f.u.; E = -4.38 eV per atom
1.0
4.1314 0.0000 0.0000
0.0000 4.1314 0.0000
0.0000 0.0000 5.5121
Sc Be P Cl
1 1 1 2
direct
0.0000 0.0000 0.0000
0.5000 0.5000 0.5000
0.5000 0.5000 0.0000
0.0000 0.5000 0.5000
0.5000 0.0000 0.5000

=====

[10]
BeP2SeCl | Alexandria via LeMat-Bulk | PBE | optimized geometry; DOS(E_F) = 0.50 states/eV per atom; raw formation energy = 2.43 eV per formula unit; magnetic moment = 0.0 μB/f.u.; E = -3.49 eV per atom
1.0
4.5367 0.0000 0.0000
0.0000 4.5367 0.0000
0.0000 0.0000 4.1239
Be P Se Cl
1 2 1 1
direct
0.0000 0.0000 0.0000
0.0000 0.5000 0.0000
0.5000 0.0000 0.0000
0.5000 0.5000 0.5000
0.0000 0.0000 0.5000

=====

[11]
BePSe2Cl | Alexandria via LeMat-Bulk | PBE | optimized geometry; DOS(E_F) = 0.33 states/eV per atom; raw formation energy = 1.59 eV per formula unit; magnetic moment = 0.0 μB/f.u.; E = -3.27 eV per atom
1.0
4.7564 0.0000 0.0000
0.0000 4.7564 0.0000
0.0000 0.0000 4.0802
Be P Se Cl
1 1 2 1
direct
0.0000 0.0000 0.0000
0.5000 0.5000 0.5000
0.0000 0.5000 0.0000
0.5000 0.0000 0.0000
0.0000 0.0000 0.5000

=====

[12]
BeP2SeCl | Alexandria via LeMat-Bulk | PBE | optimized geometry; DOS(E_F) = 0.93 states/eV per atom; raw formation energy = 6.49 eV per formula unit; magnetic moment = 0.0 μB/f.u.; E = -2.68 eV per atom
1.0
4.8561 0.0000 0.0000
0.0000 4.8561 0.0000
0.0000 0.0000 4.8217
Be P Se Cl
1 2 1 1
direct
0.0000 0.0000 0.0000
0.0000 0.5000 0.5000
0.5000 0.0000 0.5000
0.5000 0.5000 0.5000
0.5000 0.5000 0.0000

=====

[13]
BeSiPCl2 | Alexandria via LeMat-Bulk | PBE | optimized geometry; DOS(E_F) = 0.40 states/eV per atom; raw formation energy = 1.08 eV per formula unit; magnetic moment = 0.0 μB/f.u.; E = -3.43 eV per atom
1.0
4.2298 0.0000 0.0000
0.0000 4.2298 0.0000
0.0000 0.0000 4.9925
Be Si P Cl
1 1 1 2
direct
0.0000 0.0000 0.0000
0.5000 0.5000 0.5000
0.0000 0.0000 0.5000
0.0000 0.5000 0.0000
0.5000 0.0000 0.0000

=====

[14]
BeSiP2Cl | Alexandria via LeMat-Bulk | PBE | optimized geometry; DOS(E_F) = 0.55 states/eV per atom; raw formation energy = 3.17 eV per formula unit; magnetic moment = 0.0 μB/f.u.; E = -3.73 eV per atom
1.0
4.2962 0.0000 0.0000
0.0000 4.2962 0.0000
0.0000 0.0000 4.5680
Be Si P Cl
1 1 2 1
direct
0.0000 0.0000 0.0000
0.5000 0.5000 0.5000
0.0000 0.5000 0.0000
0.5000 0.0000 0.0000
0.0000 0.0000 0.5000

=====

[15]
BeSiPCl2 | Alexandria via LeMat-Bulk | PBE | optimized geometry; DOS(E_F) = 0.34 states/eV per atom; raw formation energy = 2.69 eV per formula unit; magnetic moment = 0.0 μB/f.u.; E = -3.11 eV per atom
1.0
4.5475 0.0000 0.0000
0.0000 4.5475 0.0000
0.0000 0.0000 4.8743
Be Si P Cl
1 1 1 2
direct
0.0000 0.0000 0.0000
0.5000 0.5000 0.5000
0.5000 0.5000 0.0000
0.0000 0.5000 0.5000
0.5000 0.0000 0.5000